A geometry-optimized Pr3Al3Si2 structure, computed with PBE-GGA.

```
data_Pr3Al3Si2
_cell_length_a 4.156
_cell_length_b 6.105
_cell_length_c 16.048
_cell_angle_alpha 90.00
_cell_angle_beta 90.00
_cell_angle_gamma 109.90
_symmetry_space_group_name_H-M 'P 1'
_symmetry_Int_Tables_number 1
loop_
_symmetry_equiv_pos_as_xyz
'x,y,z'
loop_
_atom_site_label
_atom_site_type_symbol
_atom_site_fract_x
_atom_site_fract_y
_atom_site_fract_z
Pr1 Pr 0.853 0.705 0.409
Pr2 Pr 0.147 0.295 0.909
Pr3 Pr 0.853 0.705 0.091
Pr4 Pr 0.147 0.295 0.591
Pr5 Pr 0.562 0.124 0.250
Pr6 Pr 0.438 0.876 0.750
Al1 Al 0.571 0.143 0.442
Al2 Al 0.429 0.857 0.942
Al3 Al 0.571 0.143 0.058
Al4 Al 0.429 0.857 0.558
Al5 Al 0.288 0.575 0.250
Al6 Al 0.712 0.425 0.750
Si1 Si 0.852 0.705 0.879
Si2 Si 0.148 0.295 0.379
Si3 Si 0.852 0.705 0.621
Si4 Si 0.148 0.295 0.121
```

Results
- formation energy from raw total energies (eV per atom) = -0.577
- Fermi-level density of states (states/eV per cell) = 7.17
- uncorrected energy (eV for the cell shown) = -82.1


A geometry-optimized Pr3Al4Si2 structure, computed with PBE-GGA.

```
data_Pr3Al4Si2
_cell_length_a 4.287
_cell_length_b 6.079
_cell_length_c 8.601
_cell_angle_alpha 100.22
_cell_angle_beta 90.00
_cell_angle_gamma 110.65
_symmetry_space_group_name_H-M 'P 1'
_symmetry_Int_Tables_number 1
loop_
_symmetry_equiv_pos_as_xyz
'x,y,z'
loop_
_atom_site_label
_atom_site_type_symbol
_atom_site_fract_x
_atom_site_fract_y
_atom_site_fract_z
Pr1 Pr 0.668 0.336 0.664
Pr2 Pr 0.000 0.000 0.000
Pr3 Pr 0.332 0.664 0.336
Al1 Al 0.725 0.450 0.062
Al2 Al 0.275 0.550 0.938
Al3 Al 0.948 0.896 0.617
Al4 Al 0.052 0.104 0.383
Si1 Si 0.612 0.223 0.278
Si2 Si 0.388 0.777 0.722
```

Results
- formation energy from raw total energies (eV per atom) = -0.593
- Fermi-level density of states (states/eV per cell) = 3.58
- uncorrected energy (eV for the cell shown) = -45.5


A geometry-optimized Pr4AlSi3 structure, computed with PBE-GGA.

```
data_Pr4AlSi3
_cell_length_a 4.504
_cell_length_b 4.028
_cell_length_c 11.277
_cell_angle_alpha 90.00
_cell_angle_beta 90.00
_cell_angle_gamma 90.00
_symmetry_space_group_name_H-M 'P 1'
_symmetry_Int_Tables_number 1
loop_
_symmetry_equiv_pos_as_xyz
'x,y,z'
loop_
_atom_site_label
_atom_site_type_symbol
_atom_site_fract_x
_atom_site_fract_y
_atom_site_fract_z
Pr1 Pr 0.500 0.500 0.363
Pr2 Pr 0.000 0.500 0.855
Pr3 Pr 0.000 0.000 0.144
Pr4 Pr 0.500 0.000 0.641
Al1 Al 0.500 0.500 0.066
Si1 Si 0.000 0.500 0.571
Si2 Si 0.000 0.000 0.434
Si3 Si 0.500 0.000 0.927
```

Results
- formation energy from raw total energies (eV per atom) = -0.662
- Fermi-level density of states (states/eV per cell) = 5.57
- uncorrected energy (eV for the cell shown) = -44.4


A geometry-optimized Pr3Al2Si4 structure, computed with PBE-GGA.

```
data_Pr3Al2Si4
_cell_length_a 4.233
_cell_length_b 5.972
_cell_length_c 8.375
_cell_angle_alpha 99.25
_cell_angle_beta 90.00
_cell_angle_gamma 110.76
_symmetry_space_group_name_H-M 'P 1'
_symmetry_Int_Tables_number 1
loop_
_symmetry_equiv_pos_as_xyz
'x,y,z'
loop_
_atom_site_label
_atom_site_type_symbol
_atom_site_fract_x
_atom_site_fract_y
_atom_site_fract_z
Pr1 Pr 0.666 0.331 0.670
Pr2 Pr 0.000 0.000 0.000
Pr3 Pr 0.334 0.669 0.330
Al1 Al 0.612 0.224 0.276
Al2 Al 0.388 0.776 0.724
Si1 Si 0.722 0.443 0.049
Si2 Si 0.278 0.557 0.951
Si3 Si 0.943 0.887 0.609
Si4 Si 0.057 0.113 0.391
```

Results
- formation energy from raw total energies (eV per atom) = -0.613
- Fermi-level density of states (states/eV per cell) = 4.10
- distance to the lowest polymorph of the same formula (kcal/mol of atoms) = 0.00
- uncorrected energy (eV for the cell shown) = -49.0


A geometry-optimized Pr6AlSi2 structure, computed with PBE-GGA.

```
data_Pr6AlSi2
_cell_length_a 8.837
_cell_length_b 8.837
_cell_length_c 8.837
_cell_angle_alpha 107.04
_cell_angle_beta 109.40
_cell_angle_gamma 112.02
_symmetry_space_group_name_H-M 'P 1'
_symmetry_Int_Tables_number 1
loop_
_symmetry_equiv_pos_as_xyz
'x,y,z'
loop_
_atom_site_label
_atom_site_type_symbol
_atom_site_fract_x
_atom_site_fract_y
_atom_site_fract_z
Pr1 Pr 0.548 0.729 0.819
Pr2 Pr 0.452 0.271 0.181
Pr3 Pr 0.089 0.271 0.819
Pr4 Pr 0.911 0.729 0.181
Pr5 Pr 0.799 0.756 0.554
Pr6 Pr 0.201 0.244 0.446
Pr7 Pr 0.201 0.756 0.957
Pr8 Pr 0.799 0.244 0.043
Pr9 Pr 0.709 0.386 0.678
Pr10 Pr 0.291 0.614 0.322
Pr11 Pr 0.291 0.969 0.678
Pr12 Pr 0.709 0.031 0.322
Al1 Al 0.000 0.500 0.500
Al2 Al 0.000 0.000 0.000
Si1 Si 0.500 0.387 0.887
Si2 Si 0.500 0.613 0.113
Si3 Si 0.626 0.000 0.626
Si4 Si 0.374 0.000 0.374
```

Results
- formation energy from raw total energies (eV per atom) = -0.424
- Fermi-level density of states (states/eV per cell) = 14.42
- uncorrected energy (eV for the cell shown) = -94.2


A geometry-optimized Pr2AlSi2 structure, computed with PBE-GGA.

```
data_Pr2AlSi2
_cell_length_a 4.172
_cell_length_b 4.124
_cell_length_c 7.027
_cell_angle_alpha 107.07
_cell_angle_beta 90.00
_cell_angle_gamma 90.00
_symmetry_space_group_name_H-M 'P 1'
_symmetry_Int_Tables_number 1
loop_
_symmetry_equiv_pos_as_xyz
'x,y,z'
loop_
_atom_site_label
_atom_site_type_symbol
_atom_site_fract_x
_atom_site_fract_y
_atom_site_fract_z
Pr1 Pr 0.000 0.688 0.376
Pr2 Pr 0.000 0.930 0.860
Al1 Al 0.500 0.110 0.221
Si1 Si 0.500 0.308 0.616
Si2 Si 0.500 0.505 0.011
```

Results
- formation energy from raw total energies (eV per atom) = -0.519
- Fermi-level density of states (states/eV per cell) = 2.43
- uncorrected energy (eV for the cell shown) = -26.7


A geometry-optimized Pr3Al4Si6 structure, computed with PBE-GGA.

```
data_Pr3Al4Si6
_cell_length_a 4.202
_cell_length_b 4.202
_cell_length_c 18.089
_cell_angle_alpha 90.00
_cell_angle_beta 90.00
_cell_angle_gamma 120.00
_symmetry_space_group_name_H-M 'P 1'
_symmetry_Int_Tables_number 1
loop_
_symmetry_equiv_pos_as_xyz
'x,y,z'
loop_
_atom_site_label
_atom_site_type_symbol
_atom_site_fract_x
_atom_site_fract_y
_atom_site_fract_z
Pr1 Pr 0.000 0.000 0.388
Pr2 Pr 0.000 0.000 0.000
Pr3 Pr 0.000 0.000 0.612
Al1 Al 0.333 0.667 0.245
Al2 Al 0.667 0.333 0.140
Al3 Al 0.333 0.667 0.860
Al4 Al 0.667 0.333 0.755
Si1 Si 0.333 0.667 0.104
Si2 Si 0.667 0.333 0.503
Si3 Si 0.333 0.667 0.497
Si4 Si 0.333 0.667 0.720
Si5 Si 0.667 0.333 0.896
Si6 Si 0.667 0.333 0.280
```

Results
- formation energy from raw total energies (eV per atom) = -0.443
- Fermi-level density of states (states/eV per cell) = 4.98
- uncorrected energy (eV for the cell shown) = -67.6


A geometry-optimized PrSmAlSi structure, computed with PBE-GGA.

```
data_PrSmAlSi
_cell_length_a 4.478
_cell_length_b 4.084
_cell_length_c 6.060
_cell_angle_alpha 90.00
_cell_angle_beta 111.68
_cell_angle_gamma 90.00
_symmetry_space_group_name_H-M 'P 1'
_symmetry_Int_Tables_number 1
loop_
_symmetry_equiv_pos_as_xyz
'x,y,z'
loop_
_atom_site_label
_atom_site_type_symbol
_atom_site_fract_x
_atom_site_fract_y
_atom_site_fract_z
Pr1 Pr 0.142 0.000 0.283
Sm1 Sm 0.858 0.500 0.715
Al1 Al 0.431 0.000 0.862
Si1 Si 0.570 0.500 0.139
```

Results
- formation energy from raw total energies (eV per atom) = -0.603
- Fermi-level density of states (states/eV per cell) = 3.36
- uncorrected energy (eV for the cell shown) = -21.1


A geometry-optimized TbPrAlSi structure, computed with PBE-GGA.

```
data_TbPrAlSi
_cell_length_a 4.424
_cell_length_b 4.049
_cell_length_c 6.017
_cell_angle_alpha 90.00
_cell_angle_beta 111.57
_cell_angle_gamma 90.00
_symmetry_space_group_name_H-M 'P 1'
_symmetry_Int_Tables_number 1
loop_
_symmetry_equiv_pos_as_xyz
'x,y,z'
loop_
_atom_site_label
_atom_site_type_symbol
_atom_site_fract_x
_atom_site_fract_y
_atom_site_fract_z
Tb1 Tb 0.861 0.500 0.723
Pr1 Pr 0.145 0.000 0.290
Al1 Al 0.567 0.500 0.133
Si1 Si 0.427 0.000 0.853
```

Results
- formation energy from raw total energies (eV per atom) = -0.611
- Fermi-level density of states (states/eV per cell) = 3.15
- uncorrected energy (eV for the cell shown) = -21.0


A geometry-optimized PrThAlSi structure, computed with PBE-GGA.

```
data_PrThAlSi
_cell_length_a 4.458
_cell_length_b 4.066
_cell_length_c 6.111
_cell_angle_alpha 90.00
_cell_angle_beta 111.39
_cell_angle_gamma 90.00
_symmetry_space_group_name_H-M 'P 1'
_symmetry_Int_Tables_number 1
loop_
_symmetry_equiv_pos_as_xyz
'x,y,z'
loop_
_atom_site_label
_atom_site_type_symbol
_atom_site_fract_x
_atom_site_fract_y
_atom_site_fract_z
Pr1 Pr 0.145 0.000 0.290
Th1 Th 0.859 0.500 0.718
Al1 Al 0.569 0.500 0.138
Si1 Si 0.427 0.000 0.854
```

Results
- formation energy from raw total energies (eV per atom) = -0.548
- Fermi-level density of states (states/eV per cell) = 4.09
- uncorrected energy (eV for the cell shown) = -23.6